(1)
An optimized crystal structure of Sr3HoRhO6. Source: Alexandria, functional PBEsol.

abc: 6.7391 6.7391 6.7391
angles: 92.13 92.13 92.13
With the nearest neighbours (Å) after each atom.
Element x y z (fractional)
Sr 0.6189 0.2500 0.8811  8 O 2.50-2.71
Sr 0.2500 0.8811 0.6189  8 O 2.50-2.71
Sr 0.8811 0.6189 0.2500  8 O 2.50-2.71
Sr 0.3811 0.7500 0.1189  8 O 2.50-2.71
Sr 0.1189 0.3811 0.7500  8 O 2.50-2.71
Sr 0.7500 0.1189 0.3811  8 O 2.50-2.71
Ho 0.7500 0.7500 0.7500  6 O 2.25
Ho 0.2500 0.2500 0.2500  6 O 2.25
Rh 0.5000 0.5000 0.5000  6 O 2.07
Rh 0.0000 0.0000 0.0000  6 O 2.07
O 0.7911 0.4561 0.5906  1 Rh 2.07, 1 Ho 2.25
O 0.5906 0.7911 0.4561  1 Rh 2.07, 1 Ho 2.25
O 0.4561 0.5906 0.7911  1 Rh 2.07, 1 Ho 2.25
O 0.0439 0.7089 0.9094  1 Rh 2.07, 1 Ho 2.25
O 0.9094 0.0439 0.7089  1 Rh 2.07, 1 Ho 2.25
O 0.7089 0.9094 0.0439  1 Rh 2.07, 1 Ho 2.25
O 0.2089 0.5439 0.4094  1 Rh 2.07, 1 Ho 2.25
O 0.4094 0.2089 0.5439  1 Rh 2.07, 1 Ho 2.25
O 0.5439 0.4094 0.2089  1 Rh 2.07, 1 Ho 2.25
O 0.9561 0.2911 0.0906  1 Rh 2.07, 1 Ho 2.25
O 0.2911 0.0906 0.9561  1 Rh 2.07, 1 Ho 2.25
O 0.0906 0.9561 0.2911  1 Rh 2.07, 1 Ho 2.25

Results
As for the symmetry: R-3c, No. 167.

---

(2)
An optimized crystal structure of BaFeCu2. Source: Alexandria, functional PBEsol.

abc: 3.1595 3.1595 7.1853
angles: 90.00 90.00 90.00
With the nearest neighbours (Å) after each atom.
Element x y z (fractional)
Ba 0.5000 0.5000 0.5000  4 Ba 3.16, 8 Cu 3.28
Cu 0.0000 0.0000 0.8333  1 Cu 2.40, 4 Fe 2.53
Cu 0.0000 0.0000 0.1667  1 Cu 2.40, 4 Fe 2.53
Fe 0.5000 0.5000 0.0000  8 Cu 2.53

Results
As for the symmetry: P4/mmm, No. 123. The value obtained for the formation energy is 0.459 eV per atom.

---

(3)
An optimized crystal structure of TaIr2Cl. Source: Alexandria, functional PBEsol.

abc: 2.8197 4.4544 5.0189
angles: 89.97 106.31 90.00
With the nearest neighbours (Å) after each atom.
Element x y z (fractional)
Cl 0.5000 0.0000 0.0000  2 Ir 2.46, 4 Ta 2.64
Ir 0.2729 0.2539 0.5458  1 Cl 2.46, 4 Ir 2.64-2.70
Ir 0.7271 0.7461 0.4542  1 Cl 2.46, 4 Ir 2.64-2.70
Ta 0.0000 0.5000 0.0000  4 Cl 2.64, 2 Ta 2.82, 6 Ir 2.82-2.85

Results
As for the symmetry: C2/m, No. 12.

---

(4)
An optimized crystal structure of Tm2Cr2C3. Source: Alexandria, functional PBEsol.

abc: 3.2754 5.4119 5.4386
angles: 105.47 90.00 107.61
With the nearest neighbours (Å) after each atom.
Element x y z (fractional)
Cr 0.1554 0.3108 0.8862  4 C 1.87-1.97
Cr 0.8446 0.6892 0.1138  4 C 1.87-1.97
C 0.7194 0.4389 0.7653  3 Cr 1.95-1.97
C 0.2806 0.5611 0.2347  3 Cr 1.95-1.97
C 0.0000 0.0000 0.0000  2 Cr 1.87
Tm 0.3922 0.7845 0.6831  5 C 2.39-2.55
Tm 0.6078 0.2155 0.3169  5 C 2.39-2.55

Results
As for the symmetry: C2/m, No. 12. The value obtained for the formation energy is -0.409 eV per atom.

---

(5)
An optimized crystal structure of MgZn2Sb. Source: Alexandria, functional PBEsol.

abc: 3.3819 4.5453 5.7132
angles: 100.53 90.00 111.84
With the nearest neighbours (Å) after each atom.
Element x y z (fractional)
Mg 0.5044 0.0087 0.5355  5 Zn 2.80-2.89, 3 Sb 2.96-3.01
Sb 0.7496 0.4992 0.2307  5 Zn 2.88-3.01, 3 Mg 2.96-3.01
Zn 0.9903 0.9805 0.9368  3 Zn 2.52-2.61
Zn 0.2558 0.5116 0.7970  3 Zn 2.52-2.61, 1 Mg 2.80

Results
As for the symmetry: Cm, No. 8.

---

(6)
An optimized crystal structure of KAu5. Source: Alexandria, functional PBEsol.

abc: 4.4754 5.6497 5.6497
angles: 120.00 90.00 90.00
With the nearest neighbours (Å) after each atom.
Element x y z (fractional)
K 0.0000 0.0000 0.0000  18 Au 3.26-3.60
Au 0.0000 0.6667 0.3333  6 Au 2.77
Au 0.5000 0.0000 0.5000  8 Au 2.77-2.82
Au 0.5000 0.5000 0.5000  8 Au 2.77-2.82
Au 0.5000 0.5000 0.0000  8 Au 2.77-2.82
Au 0.0000 0.3333 0.6667  6 Au 2.77

Results
As for the symmetry: P6/mmm, No. 191. The value obtained for the formation energy is -0.180 eV per atom.

---

(7)
An optimized crystal structure of CsRb3. Source: Alexandria, functional PBEsol.

abc: 7.1143 7.1143 7.1143
angles: 90.00 90.00 90.00
With the nearest neighbours (Å) after each atom.
Element x y z (fractional)
Cs 0.0000 0.0000 0.0000  12 Rb 5.03
Rb 0.0000 0.5000 0.5000  8 Rb 5.03, 4 Cs 5.03
Rb 0.5000 0.0000 0.5000  8 Rb 5.03, 4 Cs 5.03
Rb 0.5000 0.5000 0.0000  8 Rb 5.03, 4 Cs 5.03

Results
As for the symmetry: Pm-3m, No. 221. The value obtained for the formation energy is 0.001 eV per atom.

---

(8)
An optimized crystal structure of Be2TcIr. Source: Alexandria, functional PBEsol.

abc: 2.7501 4.4649 4.6221
angles: 118.88 107.31 90.00
With the nearest neighbours (Å) after each atom.
Element x y z (fractional)
Be 0.7564 0.7564 0.5128  2 Ir 2.31, 2 Tc 2.39
Be 0.2436 0.2436 0.4872  2 Ir 2.31, 2 Tc 2.39
Ir 0.5000 0.0000 0.0000  4 Be 2.31
Tc 0.0000 0.5000 0.0000  4 Be 2.39, 4 Ir 2.62

Results
As for the symmetry: Immm, No. 71. The value obtained for the formation energy is -0.033 eV per atom.

---

| no. | magnetic moment (μB per cell) | total DFT energy (no corrections) (eV per cell) |
| --- | --- | --- |
| 1 | 0.0 | -158.06 |
| 2 | 2.9 | -17.94 |
| 3 | 0.0 | -33.74 |
| 4 | 0.0 | -62.07 |
| 5 | 0.0 | -9.42 |
| 6 | 0.0 | -21.83 |
| 7 | 0.0 | -4.01 |
| 8 | 0.0 | -29.22 |